# 1
The following is a PBE calculation of a relaxed Ru4PbCl crystal, from the Alexandria database.

## Properties
The value obtained for the uncorrected formation energy is 0.94 eV per atom. The electronic total energy comes out at -37.00 eV per cell. The symmetry is F-43m.

Unit cell a=5.3459 b=5.3459 c=5.3459 alpha=60.00 beta=60.00 gamma=60.00
Site moments in Bohr magnetons follow the coordinates.
Fractional positions:
1 Ru 0.3759 0.3759 0.8723  1.39
2 Ru 0.3759 0.8723 0.3759  1.39
3 Ru 0.3759 0.3759 0.3759  1.39
4 Ru 0.8723 0.3759 0.3759  1.39
5 Pb 0.0000 0.0000 0.0000  0.01
6 Cl 0.7500 0.7500 0.7500  0.22



# 2
The following is a PBE calculation of a relaxed Rb2PtRhO4 crystal, from the Alexandria database.

## Properties
The value obtained for the uncorrected formation energy is -0.84 eV per atom. The electronic total energy comes out at -83.78 eV per cell. The symmetry is Fddd.

Unit cell a=5.7787 b=7.6155 c=10.5023 alpha=84.01 beta=74.03 gamma=67.70
Site moments in Bohr magnetons follow the coordinates.
Fractional positions:
1 O 0.8537 0.8067 0.9971  0.24
2 O 0.8963 0.6933 0.5029  0.24
3 O 0.1491 0.1933 0.9971  0.24
4 O 0.6575 0.1933 0.0029  0.24
5 O 0.6009 0.3067 0.5029  0.24
6 O 0.3396 0.8067 0.0029  0.24
7 O 0.4104 0.6933 0.4971  0.24
8 O 0.0925 0.3067 0.4971  0.24
9 Pt 0.2500 0.5000 0.5000  0.44
10 Pt 0.5000 0.0000 0.0000  0.44
11 Rb 0.9203 0.5000 0.1593  0.00
12 Rb 0.8297 0.0000 0.3407  0.00
13 Rb 0.5797 0.5000 0.8407  0.00
14 Rb 0.1703 0.0000 0.6593  0.00
15 Rh 0.7500 0.5000 0.5000  1.31
16 Rh 0.0000 0.0000 0.0000  1.31



Which value of electronic total energy does entry 2 give? -83.78 eV per cell



The highest electronic total energy belongs to which entry? Ru4PbCl



What is the formula in the first record? Ru4PbCl



Which formula does entry 1 have? Ru4PbCl